Record 1
Entry from Alexandria: a relaxed structure of TlAsOs2 (PBE-GGA).

Cell and atoms, written as POSCAR:
```
TlAsOs2
1.0
2.8769 0.0000 0.0000
0.0000 2.8769 0.0000
0.0000 0.0000 9.4501
Tl Os As
1 2 1
Direct
0.0000 0.0000 0.4556 Tl
0.5000 0.5000 0.1962 Os
0.0000 0.0000 0.0166 Os
0.5000 0.5000 0.8315 As
```

The calculation puts the total energy at -27.839 eV per formula unit. The value obtained for the density of states at the Fermi level is 2.1 states/eV per cell. The symmetry is P4mm. As for the distance to the lowest polymorph of the same formula: 0 meV/atom. The value obtained for the formation energy is 1.6 eV/f.u. As for the mass density: 14.0 g cm⁻³. The calculation puts the total magnetization at 0.000 μB/atom.

Record 2
Entry from Alexandria: a relaxed structure of TlAs3Os (PBE-GGA).

Cell and atoms, written as POSCAR:
```
TlAs3Os
1.0
-2.2525 -1.3446 -4.1424
2.2442 -4.3552 0.1934
-3.7325 -1.8071 2.6162
Tl As Os
1 3 1
Direct
0.5000 0.5000 0.5000 Tl
0.0000 0.5000 0.0000 As
0.5000 0.0000 0.0000 As
0.0000 0.0000 0.5000 As
0.0000 0.0000 0.0000 Os
```

The calculation puts the total energy at -24.779 eV per formula unit. The value obtained for the density of states at the Fermi level is 4.7 states/eV per cell. The symmetry is Pm-3m. As for the distance to the lowest polymorph of the same formula: 0 meV/atom. The value obtained for the formation energy is 2.8 eV/f.u. As for the mass density: 8.7 g cm⁻³. The calculation puts the total magnetization at 0.000 μB/atom.

Record 3
Entry from Alexandria: a relaxed structure of TlAsOs2 (PBE-GGA).

Cell and atoms, written as POSCAR:
```
TlAsOs2
1.0
-5.2342 -1.1121 -0.5133
-1.1744 -2.1508 -4.7845
2.5811 -0.4629 4.6926
Os Tl As
2 1 1
Direct
0.0291 0.0291 0.0000 Os
0.4709 0.4709 0.0000 Os
0.7500 0.2500 0.5000 Tl
0.2500 0.7500 0.5000 As
```

The calculation puts the total energy at -25.954 eV per formula unit. The value obtained for the density of states at the Fermi level is 2.8 states/eV per cell. The symmetry is Immm. As for the distance to the lowest polymorph of the same formula: 471 meV/atom. The value obtained for the formation energy is 3.5 eV/f.u. As for the mass density: 15.9 g cm⁻³. The calculation puts the total magnetization at 0.000 μB/atom.

Record 4
Entry from Alexandria: a relaxed structure of TlAsOs2 (PBE-GGA).

Cell and atoms, written as POSCAR:
```
TlAsOs2
1.0
-1.7036 0.1148 -2.5221
2.6690 -3.9074 -1.9806
-2.8703 -2.8770 1.8079
Os Tl As
2 1 1
Direct
0.5000 0.5000 0.0000 Os
0.0000 0.0000 0.0000 Os
0.5000 0.0000 0.5000 Tl
0.0000 0.5000 0.5000 As
```

The calculation puts the total energy at -25.106 eV per formula unit. The value obtained for the density of states at the Fermi level is 5.0 states/eV per cell. The symmetry is Pmmm. As for the distance to the lowest polymorph of the same formula: 683 meV/atom. The value obtained for the formation energy is 4.4 eV/f.u. As for the mass density: 15.8 g cm⁻³. The calculation puts the total magnetization at 0.000 μB/atom.

Record 5
Entry from Alexandria: a relaxed structure of TlAsOs3 (PBE-GGA).

Cell and atoms, written as POSCAR:
```
TlAsOs3
1.0
4.5741 0.0000 0.0000
0.0000 4.5741 0.0000
0.0000 0.0000 4.5741
Os Tl As
3 1 1
Direct
0.0000 0.0000 0.5000 Os
0.5000 0.0000 0.0000 Os
0.0000 0.5000 0.0000 Os
0.5000 0.5000 0.5000 Tl
0.0000 0.0000 0.0000 As
```

The calculation puts the total energy at -32.739 eV per formula unit. The value obtained for the density of states at the Fermi level is 4.2 states/eV per cell. The symmetry is Pm-3m. As for the distance to the lowest polymorph of the same formula: 0 meV/atom. The value obtained for the formation energy is 8.0 eV/f.u. As for the mass density: 14.7 g cm⁻³. The calculation puts the total magnetization at 0.000 μB/atom.

Record 6
Entry from Alexandria: a relaxed structure of TlAsOs (PBE-GGA).

Cell and atoms, written as POSCAR:
```
TlAsOs
1.0
-1.4161 2.8681 -0.3381
-0.3910 -1.6763 2.7171
5.4672 3.0110 2.6444
Tl As Os
1 1 1
Direct
0.6667 0.3333 0.6443 Tl
0.0000 0.0000 0.0595 As
0.3333 0.6667 0.2961 Os
```

The calculation puts the total energy at -17.077 eV per formula unit. The value obtained for the density of states at the Fermi level is 1.5 states/eV per cell. The symmetry is P3m1. As for the distance to the lowest polymorph of the same formula: 64 meV/atom. The value obtained for the formation energy is 1.2 eV/f.u. As for the mass density: 12.8 g cm⁻³. The calculation puts the total magnetization at 0.000 μB/atom.

Record 7
Entry from Alexandria: a relaxed structure of TlAsOs2 (PBE-GGA).

Cell and atoms, written as POSCAR:
```
TlAsOs2
1.0
-5.3651 6.6948 -1.4403
-6.5562 5.6075 1.1186
-4.2096 7.5126 1.2327
Os As Tl
2 1 1
Direct
0.4877 0.4877 0.4877 Os
0.0123 0.0123 0.0123 Os
0.7500 0.7500 0.7500 As
0.2500 0.2500 0.2500 Tl
```

The calculation puts the total energy at -26.609 eV per formula unit. The value obtained for the density of states at the Fermi level is 3.8 states/eV per cell. The symmetry is R-3m. As for the distance to the lowest polymorph of the same formula: 307 meV/atom. The value obtained for the formation energy is 2.9 eV/f.u. As for the mass density: 16.2 g cm⁻³. The calculation puts the total magnetization at 0.000 μB/atom.

Record 8
Entry from Alexandria: a relaxed structure of TlAsOs2 (PBE-GGA).

Cell and atoms, written as POSCAR:
```
TlAsOs2
1.0
3.5116 0.0000 0.0000
0.0000 2.8102 0.0435
0.0000 2.7472 8.0121
Os Tl As
2 1 1
Direct
0.5000 0.1841 0.1921 Os
0.0000 0.8426 0.0370 Os
0.0000 0.4156 0.4705 Tl
0.5000 0.0577 0.8004 As
```

The calculation puts the total energy at -27.400 eV per formula unit. The value obtained for the density of states at the Fermi level is 2.7 states/eV per cell. The symmetry is Pm. As for the distance to the lowest polymorph of the same formula: 110 meV/atom. The value obtained for the formation energy is 2.1 eV/f.u. As for the mass density: 13.9 g cm⁻³. The calculation puts the total magnetization at 0.000 μB/atom.

Record 9
Entry from Alexandria: a relaxed structure of TlAsOs (PBE-GGA).

Cell and atoms, written as POSCAR:
```
TlAsOs
1.0
7.9816 -0.0104 0.0067
7.1474 2.9090 0.0141
0.8342 -1.1927 2.6647
As Os Tl
1 1 1
Direct
0.0298 0.0298 0.9702 As
0.6503 0.6503 0.3497 Os
0.3199 0.3199 0.6801 Tl
```

The calculation puts the total energy at -16.377 eV per formula unit. The value obtained for the density of states at the Fermi level is 2.5 states/eV per cell. The symmetry is Fmm2. As for the distance to the lowest polymorph of the same formula: 297 meV/atom. The value obtained for the formation energy is 1.9 eV/f.u. As for the mass density: 12.5 g cm⁻³. The calculation puts the total magnetization at 0.000 μB/atom.

Record 10
Entry from Alexandria: a relaxed structure of TlAsOs2 (PBE-GGA).

Cell and atoms, written as POSCAR:
```
TlAsOs2
1.0
3.6763 0.6863 2.5612
0.4642 -2.2019 3.9348
3.1149 -3.2666 0.4154
As Tl Os
1 1 2
Direct
0.0000 0.0000 0.0000 As
0.5000 0.5000 0.5000 Tl
0.7500 0.7500 0.7500 Os
0.2500 0.2500 0.2500 Os
```

The calculation puts the total energy at -25.710 eV per formula unit. The value obtained for the density of states at the Fermi level is 1.5 states/eV per cell. The symmetry is Fm-3m. As for the distance to the lowest polymorph of the same formula: 532 meV/atom. The value obtained for the formation energy is 3.8 eV/f.u. As for the mass density: 16.6 g cm⁻³. The calculation puts the total magnetization at 0.000 μB/atom.

Record 11
Entry from Alexandria: a relaxed structure of TlAsOs2 (PBE-GGA).

Cell and atoms, written as POSCAR:
```
TlAsOs2
1.0
-2.0830 1.2393 1.8559
1.5898 -2.4618 0.8550
6.1558 5.1747 3.4536
Tl Os As
1 2 1
Direct
0.5000 0.5000 0.2500 Tl
0.0000 0.0000 0.9669 Os
0.0000 0.0000 0.5331 Os
0.5000 0.5000 0.7500 As
```

The calculation puts the total energy at -25.875 eV per formula unit. The value obtained for the density of states at the Fermi level is 3.2 states/eV per cell. The symmetry is Cmmm. As for the distance to the lowest polymorph of the same formula: 491 meV/atom. The value obtained for the formation energy is 3.6 eV/f.u. As for the mass density: 15.6 g cm⁻³. The calculation puts the total magnetization at 0.000 μB/atom.

Record 12
Entry from Alexandria: a relaxed structure of TlAsOs2 (PBE-GGA).

Cell and atoms, written as POSCAR:
```
TlAsOs2
1.0
3.9772 0.0000 0.0000
0.0000 2.9457 -0.2982
0.0000 -0.0518 6.3469
Os As Tl
2 1 1
Direct
0.0000 0.4432 0.5674 Os
0.0000 0.0568 0.9326 Os
0.5000 0.7500 0.7500 As
0.5000 0.2500 0.2500 Tl
```

The calculation puts the total energy at -26.103 eV per formula unit. The value obtained for the density of states at the Fermi level is 3.1 states/eV per cell. The symmetry is P2/m. As for the distance to the lowest polymorph of the same formula: 434 meV/atom. The value obtained for the formation energy is 3.4 eV/f.u. As for the mass density: 14.7 g cm⁻³. The calculation puts the total magnetization at 0.000 μB/atom.